Compound: Ce2FeAg
Source: Alexandria via LeMat-Bulk
Functional: PBE
Structure: optimized geometry

a = 10.6675 Å, b = 10.6675 Å, c = 10.6675 Å
α = 16.28°, β = 16.28°, γ = 16.28°
With the nearest neighbours (Å) after each atom.
Element x y z (fractional)
1 Ce 0.0976 0.0976 0.0976  3 Fe 2.79, 6 Ce 3.02, 1 Ag 3.08
2 Ce 0.9024 0.9024 0.9024  3 Fe 2.79, 6 Ce 3.02, 1 Ag 3.08
3 Fe 0.5000 0.5000 0.5000  6 Ce 2.79, 6 Fe 3.02
4 Ag 0.0000 0.0000 0.0000  6 Ag 3.02, 2 Ce 3.08

The total magnetization comes out at 0.64 μB per formula unit. The calculation puts the distance to the lowest polymorph of the same formula at 347 meV per atom.

Compound: Ce3FeAg
Source: Alexandria via LeMat-Bulk
Functional: PBE
Structure: optimized geometry

a = 5.0680 Å, b = 5.0680 Å, c = 5.0680 Å
α = 90.00°, β = 90.00°, γ = 90.00°
With the nearest neighbours (Å) after each atom.
Element x y z (fractional)
1 Ce 0.0000 0.0000 0.5000  2 Fe 2.53
2 Ce 0.0000 0.5000 0.0000  2 Fe 2.53
3 Ce 0.5000 0.0000 0.0000  2 Fe 2.53
4 Fe 0.0000 0.0000 0.0000  6 Ce 2.53
5 Ag 0.5000 0.5000 0.5000  12 Ce 3.58

The total magnetization comes out at 1.92 μB per formula unit. Its total energy is -5.79 eV/atom.